Hf2ScNi | PBE-GGA | relaxed

The structure in POSCAR format:
```
Hf2ScNi
1.0
7.6074 0.0000 0.0000
0.0000 7.6074 0.0000
3.8037 3.8037 2.8682
Hf Sc Ni
4 2 2
direct
0.6892 0.1250 0.2500 Hf
0.0608 0.6250 0.2500 Hf
0.3750 0.3108 0.7500 Hf
0.8750 0.9392 0.7500 Hf
0.2500 0.7500 0.5000 Sc
0.5000 0.5000 0.0000 Sc
0.0000 0.0000 0.0000 Ni
0.7500 0.2500 0.5000 Ni
```

## Properties
ΔH_f (0 K) ... 0.055 eV per atom
Uncorrected energy ... -63.60 eV per cell
Space-group type ... No. 122
N(E_F) ... 3.0 states/eV/f.u.

=====

Hf2ScNi2 | PBE-GGA | relaxed

The structure in POSCAR format:
```
Hf2ScNi2
1.0
-0.7280 -3.2045 0.5080
0.0218 -0.5255 -3.2834
8.0622 -3.7208 -1.0348
Ni Hf Sc
2 2 1
direct
0.7500 0.2500 0.5000 Ni
0.2500 0.7500 0.5000 Ni
0.3690 0.3690 0.2621 Hf
0.6310 0.6310 0.7379 Hf
0.0000 0.0000 0.0000 Sc
```

## Properties
ΔH_f (0 K) ... -0.014 eV per atom
Uncorrected energy ... -37.87 eV per cell
Space-group type ... No. 139
N(E_F) ... 5.5 states/eV/f.u.

=====

Hf2ScNi9 | PBE-GGA | relaxed

The structure in POSCAR format:
```
Hf2ScNi9
1.0
-0.0864 -3.7182 -0.1159
3.0622 -0.1369 2.1095
-6.3305 -0.1389 9.1807
Ni Hf Sc
9 2 1
direct
0.5000 0.5000 0.3342 Ni
0.5000 0.5000 0.0000 Ni
0.5000 0.0000 0.5000 Ni
0.0000 0.5000 0.8328 Ni
0.5000 0.5000 0.6658 Ni
0.0000 0.5000 0.5000 Ni
0.5000 0.0000 0.8328 Ni
0.5000 0.0000 0.1672 Ni
0.0000 0.5000 0.1672 Ni
0.0000 0.0000 0.3313 Hf
0.0000 0.0000 0.6687 Hf
0.0000 0.0000 0.0000 Sc
```

## Properties
ΔH_f (0 K) ... -0.501 eV per atom
Uncorrected energy ... -84.28 eV per cell
Space-group type ... No. 123
N(E_F) ... 7.1 states/eV/f.u.

=====

Hf2ScNi | PBE-GGA | relaxed

The structure in POSCAR format:
```
Hf2ScNi
1.0
-1.3656 1.8715 -2.2204
-2.4320 -2.0779 -0.2556
-3.7387 3.7083 5.4252
Hf Ni Sc
2 1 1
direct
0.0000 0.0000 0.7931 Hf
0.0000 0.0000 0.2069 Hf
0.5000 0.5000 0.0000 Ni
0.5000 0.5000 0.5000 Sc
```

## Properties
ΔH_f (0 K) ... -0.127 eV per atom
Uncorrected energy ... -32.53 eV per cell
Space-group type ... No. 123
N(E_F) ... 6.6 states/eV/f.u.

=====

Hf3Sc2Ni4 | PBE-GGA | relaxed

The structure in POSCAR format:
```
Hf3Sc2Ni4
1.0
-3.5893 0.4585 5.4177
7.5301 -0.8237 1.8963
0.7284 6.5031 -0.0678
Hf Sc Ni
6 4 8
direct
0.5000 0.5000 0.0000 Hf
0.0000 0.5000 0.5000 Hf
0.2221 0.2335 0.6743 Hf
0.2779 0.7665 0.1743 Hf
0.7779 0.7665 0.3257 Hf
0.7221 0.2335 0.8257 Hf
0.9370 0.8110 0.8183 Sc
0.0630 0.1890 0.1817 Sc
0.5630 0.1890 0.3183 Sc
0.4370 0.8110 0.6817 Sc
0.8390 0.0661 0.5324 Ni
0.6277 0.5008 0.6278 Ni
0.8723 0.4992 0.1278 Ni
0.1277 0.5008 0.8722 Ni
0.6610 0.9339 0.0324 Ni
0.3390 0.0661 0.9676 Ni
0.3723 0.4992 0.3722 Ni
0.1610 0.9339 0.4676 Ni
```

## Properties
ΔH_f (0 K) ... -0.403 eV per atom
Uncorrected energy ... -138.55 eV per cell
Space-group type ... No. 14
N(E_F) ... 8.5 states/eV/f.u.

=====

Hf5ScNi6 | PBE-GGA | relaxed

The structure in POSCAR format:
```
Hf5ScNi6
1.0
4.3969 -0.2807 0.7161
-0.0178 5.9471 2.4383
1.0111 0.3159 7.7064
Ni Hf Sc
6 5 1
direct
0.8265 0.0864 0.3487 Ni
0.1736 0.4350 0.6516 Ni
0.4999 0.2689 0.9999 Ni
0.5001 0.7311 0.0001 Ni
0.1735 0.9136 0.6513 Ni
0.8264 0.5650 0.3484 Ni
0.0000 0.5000 0.0000 Hf
0.3316 0.3312 0.3375 Hf
0.3387 0.8388 0.3223 Hf
0.6684 0.6688 0.6625 Hf
0.6613 0.1612 0.6777 Hf
0.0000 0.0000 0.0000 Sc
```

## Properties
ΔH_f (0 K) ... -0.448 eV per atom
Uncorrected energy ... -96.17 eV per cell
Space-group type ... No. 12
N(E_F) ... 8.9 states/eV/f.u.

=====

Hf2ScNi | PBE-GGA | relaxed

The structure in POSCAR format:
```
Hf2ScNi
1.0
0.0000 3.3456 3.3456
3.3456 0.0000 3.3456
3.3456 3.3456 0.0000
Sc Ni Hf
1 1 2
direct
0.0000 0.0000 0.0000 Sc
0.5000 0.5000 0.5000 Ni
0.2500 0.2500 0.2500 Hf
0.7500 0.7500 0.7500 Hf
```

## Properties
ΔH_f (0 K) ... 0.118 eV per atom
Uncorrected energy ... -31.55 eV per cell
Space-group type ... No. 225
N(E_F) ... 7.1 states/eV/f.u.

=====

Hf3ScNi | PBE-GGA | relaxed

The structure in POSCAR format:
```
Hf3ScNi
1.0
4.8543 0.0000 0.0000
0.0000 4.8543 0.0000
0.0000 0.0000 4.8543
Hf Sc Ni
3 1 1
direct
0.5000 0.0000 0.0000 Hf
0.0000 0.5000 0.0000 Hf
0.0000 0.0000 0.5000 Hf
0.5000 0.5000 0.5000 Sc
0.0000 0.0000 0.0000 Ni
```

## Properties
ΔH_f (0 K) ... 0.212 eV per atom
Uncorrected energy ... -40.91 eV per cell
Space-group type ... No. 221
N(E_F) ... 11.4 states/eV/f.u.

=====

Hf2ScNi2 | PBE-GGA | relaxed

The structure in POSCAR format:
```
Hf2ScNi2
1.0
-5.5921 0.5691 -5.0876
3.3579 -5.2795 -4.2814
-1.5438 -2.1619 1.4551
Sc Hf Ni
2 4 4
direct
0.0000 0.0000 0.0000 Sc
0.5000 0.5000 0.0000 Sc
0.1510 0.3490 0.0000 Hf
0.3490 0.8490 0.0000 Hf
0.6510 0.1510 0.0000 Hf
0.8490 0.6510 0.0000 Hf
0.8580 0.3580 0.5000 Ni
0.6420 0.8580 0.5000 Ni
0.3580 0.1420 0.5000 Ni
0.1420 0.6420 0.5000 Ni
```

## Properties
ΔH_f (0 K) ... -0.205 eV per atom
Uncorrected energy ... -77.65 eV per cell
Space-group type ... No. 127
N(E_F) ... 2.6 states/eV/f.u.

=====

HfSc3Ni4 | PBE-GGA | relaxed

The structure in POSCAR format:
```
HfSc3Ni4
1.0
4.3300 0.0000 -1.1688
-0.3104 4.3239 -1.1498
-0.4140 -0.4705 7.0711
Sc Ni Hf
3 4 1
direct
0.7507 0.2507 0.5015 Sc
0.0000 0.5000 0.0000 Sc
0.2493 0.7493 0.4985 Sc
0.1207 0.1207 0.2413 Ni
0.3793 0.3792 0.7586 Ni
0.8793 0.8793 0.7587 Ni
0.6207 0.6208 0.2414 Ni
0.5000 0.0000 0.0000 Hf
```

## Properties
ΔH_f (0 K) ... -0.496 eV per atom
Uncorrected energy ... -56.04 eV per cell
Space-group type ... No. 139
N(E_F) ... 4.7 states/eV/f.u.

=====

Hf2ScNi | PBE-GGA | relaxed

The structure in POSCAR format:
```
Hf2ScNi
1.0
3.2486 -0.0007 0.0000
-1.6250 5.3991 0.0000
0.0000 0.0000 8.9591
Hf Ni Sc
4 2 2
direct
0.6364 0.2734 0.0536 Hf
0.6364 0.2734 0.4464 Hf
0.3636 0.7266 0.9464 Hf
0.3636 0.7266 0.5536 Hf
0.7698 0.5394 0.7500 Ni
0.2302 0.4606 0.2500 Ni
0.9296 0.8591 0.2500 Sc
0.0704 0.1409 0.7500 Sc
```

## Properties
ΔH_f (0 K) ... -0.229 eV per atom
Uncorrected energy ... -65.87 eV per cell
Space-group type ... No. 63
N(E_F) ... 4.3 states/eV/f.u.

=====

HfSc3Ni8 | PBE-GGA | relaxed

The structure in POSCAR format:
```
HfSc3Ni8
1.0
-1.5336 3.3622 -3.1956
-0.5103 -1.1663 -4.7167
-8.2538 -1.4344 -1.2825
Ni Sc Hf
8 3 1
direct
0.4376 0.9349 0.1899 Ni
0.1874 0.1874 0.4377 Ni
0.4376 0.4376 0.1899 Ni
0.6876 0.6876 0.9373 Ni
0.9375 0.9375 0.6851 Ni
0.9349 0.4376 0.1899 Ni
0.4399 0.9375 0.6851 Ni
0.9375 0.4399 0.6851 Ni
0.3737 0.3737 0.8788 Sc
0.4983 0.4983 0.5050 Sc
0.0017 0.0017 0.9948 Sc
0.8762 0.8762 0.3713 Hf
```

## Properties
ΔH_f (0 K) ... -0.513 eV per atom
Uncorrected energy ... -81.35 eV per cell
Space-group type ... No. 160
N(E_F) ... 9.1 states/eV/f.u.

=====

HfSc4Ni5 | PBE-GGA | relaxed

The structure in POSCAR format:
```
HfSc4Ni5
1.0
-2.0442 0.5397 2.3542
2.1375 -1.0318 2.0926
5.6907 14.8889 1.5281
Hf Ni Sc
1 5 4
direct
0.0000 0.0000 0.0000 Hf
0.5000 0.5000 0.5000 Ni
0.5000 0.5000 0.0935 Ni
0.5000 0.5000 0.6994 Ni
0.5000 0.5000 0.3006 Ni
0.5000 0.5000 0.9065 Ni
0.0000 0.0000 0.2004 Sc
0.0000 0.0000 0.4001 Sc
0.0000 0.0000 0.5999 Sc
0.0000 0.0000 0.7996 Sc
```

## Properties
ΔH_f (0 K) ... -0.489 eV per atom
Uncorrected energy ... -69.08 eV per cell
Space-group type ... No. 123
N(E_F) ... 9.7 states/eV/f.u.

=====

Hf3ScNi12 | PBE-GGA | relaxed

The structure in POSCAR format:
```
Hf3ScNi12
1.0
3.7170 0.0000 0.0000
0.0000 3.7170 0.0000
0.0000 0.0000 14.9236
Ni Hf Sc
12 3 1
direct
0.0000 0.5000 0.8746 Ni
0.5000 0.0000 0.3751 Ni
0.0000 0.5000 0.3751 Ni
0.5000 0.0000 0.1254 Ni
0.0000 0.5000 0.6249 Ni
0.5000 0.5000 0.7490 Ni
0.5000 0.0000 0.8746 Ni
0.5000 0.5000 0.0000 Ni
0.5000 0.5000 0.5000 Ni
0.0000 0.5000 0.1254 Ni
0.5000 0.5000 0.2510 Ni
0.5000 0.0000 0.6249 Ni
0.0000 0.0000 0.2478 Hf
0.0000 0.0000 0.5000 Hf
0.0000 0.0000 0.7522 Hf
0.0000 0.0000 0.0000 Sc
```

## Properties
ΔH_f (0 K) ... -0.507 eV per atom
Uncorrected energy ... -113.68 eV per cell
Space-group type ... No. 123
N(E_F) ... 7.6 states/eV/f.u.

=====

HfScNi10 | PBE-GGA | relaxed

The structure in POSCAR format:
```
HfScNi10
1.0
-2.0887 3.0527 -1.4204
-3.7606 -1.4010 2.5189
2.4848 4.6228 6.2810
Hf Ni Sc
1 10 1
direct
0.0000 0.5000 0.5000 Hf
0.5000 0.7476 0.7471 Ni
0.0000 0.0000 0.3344 Ni
0.0000 0.5000 0.8322 Ni
0.0000 0.0000 0.6656 Ni
0.5000 0.2524 0.2529 Ni
0.5000 0.7476 0.2529 Ni
0.5000 0.0000 0.5000 Ni
0.0000 0.5000 0.1678 Ni
0.5000 0.5000 0.0000 Ni
0.5000 0.2524 0.7471 Ni
0.0000 0.0000 0.0000 Sc
```

## Properties
ΔH_f (0 K) ... -0.288 eV per atom
Uncorrected energy ... -77.55 eV per cell
Space-group type ... No. 47
N(E_F) ... 13.3 states/eV/f.u.

=====

Hf2ScNi9 | PBE-GGA | relaxed

The structure in POSCAR format:
```
Hf2ScNi9
1.0
4.8233 0.0000 0.0000
2.4116 4.1771 0.0000
2.4116 1.3924 7.8957
Ni Hf Sc
9 2 1
direct
0.4129 0.4129 0.2545 Ni
0.5000 0.5000 0.5000 Ni
0.6662 0.6662 0.0014 Ni
0.9197 0.4129 0.2545 Ni
0.5871 0.5871 0.7455 Ni
0.4129 0.9197 0.2545 Ni
0.3338 0.3338 0.9986 Ni
0.5871 0.0803 0.7455 Ni
0.0803 0.5871 0.7455 Ni
0.8616 0.8616 0.4151 Hf
0.1384 0.1384 0.5849 Hf
0.0000 0.0000 0.0000 Sc
```

## Properties
ΔH_f (0 K) ... -0.442 eV per atom
Uncorrected energy ... -83.58 eV per cell
Space-group type ... No. 166
N(E_F) ... 13.0 states/eV/f.u.

=====

Hf2ScSiNi | PBE-GGA | relaxed

The structure in POSCAR format:
```
Hf2ScSiNi
1.0
5.0261 0.0000 0.0000
0.0000 4.2286 0.0000
0.0000 0.0000 5.0261
Hf Ni Si Sc
2 1 1 1
direct
0.0000 0.0000 0.5000 Hf
0.5000 0.0000 0.0000 Hf
0.0000 0.5000 0.0000 Ni
0.5000 0.5000 0.5000 Si
0.0000 0.0000 0.0000 Sc
```

## Properties
Uncorrected energy ... -31.35 eV per cell
Formation energy without anion corrections ... 1.218 eV/atom
Space-group type ... No. 123
N(E_F) ... 4.2 states/eV/f.u.

=====

HfScTc2Ni | PBE-GGA | relaxed

The structure in POSCAR format:
```
HfScTc2Ni
1.0
4.4677 0.0000 0.0000
0.0000 4.8915 0.0000
0.0000 0.0000 4.4677
Tc Sc Ni Hf
2 1 1 1
direct
0.0000 0.0000 0.5000 Tc
0.5000 0.0000 0.0000 Tc
0.0000 0.0000 0.0000 Sc
0.5000 0.5000 0.5000 Ni
0.0000 0.5000 0.0000 Hf
```

## Properties
ΔH_f (0 K) ... 1.750 eV per atom
Uncorrected energy ... -34.05 eV per cell
Space-group type ... No. 123
N(E_F) ... 7.4 states/eV/f.u.

=====

HfSc2TlNi | PBE-GGA | relaxed

The structure in POSCAR format:
```
HfSc2TlNi
1.0
4.8764 0.0000 0.0000
0.0000 4.8764 0.0000
0.0000 0.0000 4.8277
Sc Tl Hf Ni
2 1 1 1
direct
0.0000 0.5000 0.0000 Sc
0.5000 0.0000 0.0000 Sc
0.5000 0.5000 0.5000 Tl
0.0000 0.0000 0.5000 Hf
0.0000 0.0000 0.0000 Ni
```

## Properties
ΔH_f (0 K) ... -0.040 eV per atom
Uncorrected energy ... -30.96 eV per cell
Space-group type ... No. 123
N(E_F) ... 7.0 states/eV/f.u.

=====

HfScTlNi2 | PBE-GGA | relaxed

The structure in POSCAR format:
```
HfScTlNi2
1.0
4.7495 0.0000 0.0000
0.0000 5.2847 0.0000
0.0000 0.0000 4.7495
Hf Tl Ni Sc
1 1 2 1
direct
0.0000 0.5000 0.0000 Hf
0.0000 0.0000 0.0000 Tl
0.5000 0.0000 0.0000 Ni
0.0000 0.0000 0.5000 Ni
0.5000 0.5000 0.5000 Sc
```

## Properties
ΔH_f (0 K) ... 1.105 eV per atom
Uncorrected energy ... -24.69 eV per cell
Space-group type ... No. 123
N(E_F) ... 9.6 states/eV/f.u.

=====

HfNiSe3 | PBE-GGA | relaxed

The structure in POSCAR format:
```
HfNiSe3
1.0
-0.7257 4.9144 -1.3468
-3.8944 0.3424 3.3479
3.2862 1.4911 3.6701
Se Ni Hf
3 1 1
direct
0.0000 0.0000 0.5000 Se
0.5000 0.0000 0.0000 Se
0.0000 0.5000 0.0000 Se
0.5000 0.5000 0.5000 Ni
0.0000 0.0000 0.0000 Hf
```

## Properties
Uncorrected energy ... -25.58 eV per cell
Formation energy without anion corrections ... 0.121 eV/atom
Space-group type ... No. 221
N(E_F) ... 11.4 states/eV/f.u.

=====

Hf3NiSe | PBE-GGA | relaxed

The structure in POSCAR format:
```
Hf3NiSe
1.0
-4.4821 1.2764 -1.1886
1.0317 -0.7022 -4.6447
-1.4062 -4.5835 0.3806
Se Ni Hf
1 1 3
direct
0.5000 0.5000 0.5000 Se
0.0000 0.0000 0.0000 Ni
0.5000 0.0000 0.0000 Hf
0.0000 0.5000 0.0000 Hf
0.0000 0.0000 0.5000 Hf
```

## Properties
Uncorrected energy ... -38.52 eV per cell
Formation energy without anion corrections ... 0.120 eV/atom
Space-group type ... No. 221
N(E_F) ... 5.2 states/eV/f.u.

=====

HfNiSe3 | PBE-GGA | relaxed

The structure in POSCAR format:
```
HfNiSe3
1.0
4.6426 0.0000 0.0000
0.0000 4.6426 0.0000
0.0000 0.0000 4.6426
Hf Se Ni
1 3 1
direct
0.5000 0.5000 0.5000 Hf
0.5000 0.0000 0.0000 Se
0.0000 0.0000 0.5000 Se
0.0000 0.5000 0.0000 Se
0.0000 0.0000 0.0000 Ni
```

## Properties
Uncorrected energy ... -26.09 eV per cell
Formation energy without anion corrections ... 0.020 eV/atom
Space-group type ... No. 221
N(E_F) ... 3.0 states/eV/f.u.

=====

Hf2Ni2Se | PBE-GGA | relaxed

The structure in POSCAR format:
```
Hf2Ni2Se
1.0
6.9509 0.0000 0.0000
0.0000 6.9509 0.0000
0.0000 0.0000 3.4213
Ni Hf Se
4 4 2
direct
0.1253 0.3747 0.0000 Ni
0.6253 0.1253 0.0000 Ni
0.8747 0.6253 0.0000 Ni
0.3747 0.8747 0.0000 Ni
0.3339 0.1661 0.5000 Hf
0.8339 0.3339 0.5000 Hf
0.1661 0.6661 0.5000 Hf
0.6661 0.8339 0.5000 Hf
0.5000 0.5000 0.0000 Se
0.0000 0.0000 0.0000 Se
```

## Properties
Uncorrected energy ... -74.84 eV per cell
Formation energy without anion corrections ... -0.494 eV/atom
Space-group type ... No. 127
N(E_F) ... 3.4 states/eV/f.u.